First-principles (PBE-GGA) data for a relaxed Ca2HgBiAs crystal, as listed in the Alexandria database.

It has space group P4/mmm (No. 123), with a = 5.7470 Å, b = 5.7470 Å, c = 5.4832 Å, α = 90.00°, β = 90.00° and γ = 90.00°. Symmetry generates all atoms from Ca at (0.0000, 0.5000, 0.0000), Hg at (0.0000, 0.0000, 0.0000), Bi at (0.0000, 0.0000, 0.5000) and As at (0.5000, 0.5000, 0.5000).

As for the calculated formation energy: 11 kJ per mole of atoms.